No. 1
The following is a PBE calculation of a relaxed structure of AcBi5Rh3, from the Alexandria database.

```
18
Lattice="7.627 0.229 -0.018 2.308 7.273 -0.018 2.926 2.209 9.421" Properties=species:S:1:pos:R:3 pbc="T T T"
Rh 1.463 1.105 4.710
Bi 3.598 6.036 6.139
Bi 7.561 5.709 5.735
Bi 6.791 1.809 6.139
Rh 7.414 5.598 2.863
Bi 9.263 3.675 3.246
Bi 5.300 4.002 3.650
Ac 9.740 7.355 2.771
Rh 3.851 2.908 1.631
Bi 5.997 2.388 -0.018
Rh 5.447 4.113 6.522
Bi 3.938 5.114 -0.018
Rh 0.000 0.000 0.000
Ac 3.121 2.357 6.613
Bi 5.178 3.910 9.222
Bi 7.683 5.801 0.163
Rh 9.010 6.803 7.754
Bi 6.070 7.903 3.246
```

Results
The calculation puts the energy of formation from the pure elements at -2.0 eV/f.u. For the total magnetic moment, the calculation gives 0.0 μB/f.u. The uncorrected energy is -5.29 eV per atom.

=====

No. 2
The following is a PBE calculation of a relaxed structure of DyH3Ir, from the Alexandria database.

```
20
Lattice="5.033 0.000 0.000 0.000 5.819 0.000 0.000 0.000 7.726" Properties=species:S:1:pos:R:3 pbc="T T T"
Ir 1.258 5.786 5.844
H 2.879 5.571 6.165
Ir 3.774 0.034 1.883
H 4.669 2.662 5.424
H 3.774 4.365 0.851
H 2.153 3.157 2.302
H 2.879 2.662 5.424
Dy 3.774 1.554 7.102
H 0.363 0.248 1.561
H 1.258 4.364 4.714
Ir 3.774 2.943 1.981
Dy 1.258 4.265 0.624
H 3.774 1.456 3.012
Ir 1.258 2.876 5.746
Dy 3.774 4.464 4.487
H 2.153 0.248 1.561
H 4.669 5.571 6.165
H 1.258 1.454 6.875
Dy 1.258 1.355 3.239
H 0.363 3.157 2.302
```

Results
For the total magnetic moment, the calculation gives 0.0 μB/f.u. The uncorrected energy is -5.18 eV per atom.

=====

No. 3
The following is a PBE calculation of a relaxed structure of Ce3Si2Ir, from the Alexandria database.

```
24
Lattice="-1.244 -3.172 -2.532 5.668 -7.261 6.311 -9.568 -1.619 6.731" Properties=species:S:1:pos:R:3 pbc="T T T"
Ce 3.211 -9.382 4.837
Ce 1.358 -3.629 2.099
Ce -3.696 -7.474 5.840
Si -5.150 -5.736 7.937
Si -5.077 -8.269 11.075
Ce -1.449 -4.580 4.669
Si -7.594 -3.520 2.803
Ce -6.502 -8.425 8.410
Ce -2.661 -7.746 9.231
Ir -0.936 -7.554 4.585
Ce -4.892 -2.561 3.832
Si 0.006 -6.317 2.572
Ir -0.791 -1.939 1.038
Si -4.156 -5.484 3.573
Si -0.067 -3.784 -0.566
Ce 1.586 -6.248 5.268
Ce -8.355 -2.671 5.672
Ce -2.484 -4.307 1.278
Si -0.988 -6.569 6.936
Ce -6.730 -5.805 5.241
Ce -0.253 -9.493 6.677
Ir -4.208 -4.499 5.924
Ir -4.354 -10.114 9.471
Si 2.450 -8.533 7.706
```

Results
For the total magnetic moment, the calculation gives 2.4 μB/f.u. The formation energy (no corrections) is -746 meV per atom. The uncorrected energy is -7.00 eV per atom.

=====

For each record above, in turn, the calculated V values are 28.79, 11.31, 23.33 Å³ per atom.